Crystalline KSc2Te at its relaxed geometry, computed with PBE.

Unit cell a=4.595 b=4.595 c=10.928 alpha=90.00 beta=90.00 gamma=90.00
Sites, in units of the cell vectors:
K  0.000  0.000  0.000
K  0.500  0.500  0.500
Sc  0.000  0.500  0.250
Sc  0.000  0.500  0.750
Sc  0.500  0.000  0.250
Sc  0.500  0.000  0.750
Te  0.000  0.000  0.500
Te  0.500  0.500  0.000

**Symmetry**: I4/mmm
**E_form (uncorrected)**: 0.09 eV/f.u.